Entry from the Alexandria database: a relaxed structure of BHRu2 (PBE-GGA).

The structure belongs to space group I-42d (No. 122); the cell edges are 5.222, 5.222 and 5.597 Å and the angles 90.00°, 90.00° and 90.00°. The distinct sites, in fractional coordinates, are B at (0.000, 0.000, 0.000), H at (0.000, 0.000, 0.500) and Ru at (0.224, 0.250, 0.625).

Its energy above the lowest structure with this stoichiometry is 0 meV per atom.


Entry from the Alexandria database: a relaxed structure of FeCuPPb2 (PBE-GGA).

The structure belongs to space group P4/mmm (No. 123); the cell edges are 5.466, 5.466 and 4.161 Å and the angles 90.00°, 90.00° and 90.00°. The distinct sites, in fractional coordinates, are Fe at (0.000, 0.000, 0.000), Cu at (0.500, 0.500, 0.500), P at (0.500, 0.500, 0.000) and Pb at (0.000, 0.500, 0.500).

Its energy above the lowest structure with this stoichiometry is 0 meV per atom. The value obtained for the formation energy from the elements is 0.7843 eV/atom.


Entry from the Alexandria database: a relaxed structure of PaGaCuIr (PBE-GGA).

The structure belongs to space group F-43m (No. 216); the cell edges are 6.597, 6.597 and 6.597 Å and the angles 90.00°, 90.00° and 90.00°. The distinct sites, in fractional coordinates, are Pa at (0.000, 0.000, 0.000), Ga at (0.000, 0.000, 0.500), Cu at (0.250, 0.250, 0.750) and Ir at (0.250, 0.250, 0.250).

The value obtained for the formation energy from the elements is -0.3585 eV/atom.


Entry from the Alexandria database: a relaxed structure of La6Pm3Mg (PBE-GGA).

The structure belongs to space group Cmc2_1 (No. 36); the cell edges are 17.360, 12.975 and 6.265 Å and the angles 90.00°, 90.00° and 90.00°. The distinct sites, in fractional coordinates, are La at (0.000, 0.051, 0.000), La at (0.000, 0.187, 0.525), La at (0.160, 0.225, 0.203), La at (0.167, 0.414, 0.679), Pm at (0.000, 0.335, 0.927), Pm at (0.184, 0.085, 0.711) and Mg at (0.000, 0.426, 0.394).

The value obtained for the formation energy from the elements is 0.1169 eV/atom.


Entry from the Alexandria database: a relaxed structure of LiPWS2 (PBE-GGA).

The structure belongs to space group P4/mmm (No. 123); the cell edges are 4.245, 4.245 and 4.198 Å and the angles 90.00°, 90.00° and 90.00°. The distinct sites, in fractional coordinates, are Li at (0.000, 0.000, 0.000), P at (0.000, 0.000, 0.500), W at (0.500, 0.500, 0.500) and S at (0.000, 0.500, 0.000).

The calculation puts the formation energy without anion corrections at 1.09 eV/atom. Its energy above the lowest structure with this stoichiometry is 1171 meV per atom.


Entry from the Alexandria database: a relaxed structure of Ba2PaCo2S6 (PBE-GGA).

The structure belongs to space group C2/m (No. 12); the cell edges are 12.294, 7.195 and 7.601 Å and the angles 90.00°, 123.23° and 90.00°. The distinct sites, in fractional coordinates, are Ba at (0.230, 0.000, 0.211), Pa at (0.000, 0.000, 0.500), Co at (0.038, 0.500, 0.172), S at (0.049, 0.247, 0.794) and S at (0.248, 0.000, 0.649).

The calculation puts the formation energy without anion corrections at -1.28 eV/atom.


Entry from the Alexandria database: a relaxed structure of MnCoIr2 (PBE-GGA).

The structure belongs to space group Pmm2 (No. 25); the cell edges are 2.700, 3.691 and 5.252 Å and the angles 90.00°, 90.00° and 90.00°. The distinct sites, in fractional coordinates, are Mn at (0.000, 0.000, 0.000), Co at (0.500, 0.500, 0.243), Ir at (0.000, 0.000, 0.477) and Ir at (0.500, 0.500, 0.749).

The value obtained for the formation energy from the elements is -0.0346 eV/atom.


Entry from the Alexandria database: a relaxed structure of Mn2AgAs (PBE-GGA).

The structure belongs to space group Cm (No. 8); the cell edges are 9.119, 3.001 and 4.782 Å and the angles 90.00°, 99.95° and 90.00°. The distinct sites, in fractional coordinates, are Mn at (0.000, 0.000, 0.000), Mn at (0.241, 0.500, 0.275), Ag at (0.493, 0.000, 0.498) and As at (0.265, 0.000, 0.838).

The value obtained for the formation energy from the elements is 0.2384 eV/atom.


Entry from the Alexandria database: a relaxed structure of InHg2AsI (PBE-GGA).

The structure belongs to space group P4/mmm (No. 123); the cell edges are 5.531, 5.531 and 5.537 Å and the angles 90.00°, 90.00° and 90.00°. The distinct sites, in fractional coordinates, are In at (0.000, 0.000, 0.000), Hg at (0.000, 0.500, 0.500), As at (0.000, 0.000, 0.500) and I at (0.500, 0.500, 0.000).

The calculation puts the formation energy without anion corrections at -0.05 eV/atom.


Entry from the Alexandria database: a relaxed structure of NpSi2Pd2 (PBE-GGA).

The structure belongs to space group I4/mmm (No. 139); the cell edges are 4.085, 4.085 and 10.285 Å and the angles 90.00°, 90.00° and 90.00°. The distinct sites, in fractional coordinates, are Np at (0.000, 0.000, 0.000), Si at (0.000, 0.000, 0.387) and Pd at (0.000, 0.500, 0.250).

The calculation puts the formation energy without anion corrections at -0.59 eV/atom. Its energy above the lowest structure with this stoichiometry is 0 meV per atom.


Entry from the Alexandria database: a relaxed structure of Hf2Al6Pt (PBE-GGA).

The structure belongs to space group Cmmm (No. 65); the cell edges are 7.396, 13.972 and 3.128 Å and the angles 90.00°, 90.00° and 90.00°. The distinct sites, in fractional coordinates, are Hf at (0.000, 0.189, 0.000), Al at (0.181, 0.342, 0.500), Al at (0.203, 0.000, 0.000) and Pt at (0.000, 0.500, 0.500).

The value obtained for the formation energy from the elements is -0.3648 eV/atom.


Entry from the Alexandria database: a relaxed structure of SrHo2Cd (PBE-GGA).

The structure belongs to space group P4/mmm (No. 123); the cell edges are 3.770, 3.770 and 9.462 Å and the angles 90.00°, 90.00° and 90.00°. The distinct sites, in fractional coordinates, are Sr at (0.000, 0.000, 0.000), Ho at (0.500, 0.500, 0.312) and Cd at (0.000, 0.000, 0.500).

Its energy above the lowest structure with this stoichiometry is 0 meV per atom. The value obtained for the formation energy from the elements is -0.0172 eV/atom.